# 1
## Pr5Sm4Tl2 (PBE)

Data for a relaxed structure of Pr5Sm4Tl2.

Cell lengths 8.9972, 3.6549, 11.3729 Å; angles 90.00, 94.16, 90.00 degrees
Space group P2/m (No. 10)
Inequivalent atoms, fractional coordinates:
Pr 0.0000 0.0000 0.0000
Pr 0.0428 0.0000 0.3296
Pr 0.2988 0.0000 0.8322
Sm 0.2792 0.5000 0.5521
Sm 0.3485 0.5000 0.1083
Tl 0.4177 0.0000 0.3447

Calculated values
Crystal system ... monoclinic



# 2
## Pr9Sm4Tl11 (PBE)

Data for a relaxed structure of Pr9Sm4Tl11.

Cell lengths 18.2424, 21.7879, 3.6554 Å; angles 90.00, 90.00, 90.00 degrees
Space group Cmmm (No. 65)
Inequivalent atoms, fractional coordinates:
Pr 0.0000 0.0000 0.0000
Pr 0.1179 0.2400 0.0000
Pr 0.1192 0.4123 0.0000
Sm 0.1524 0.0843 0.0000
Tl 0.0000 0.1366 0.5000
Tl 0.0000 0.3278 0.5000
Tl 0.0000 0.5000 0.5000
Tl 0.2365 0.5000 0.5000
Tl 0.2422 0.3259 0.5000

Calculated values
Crystal system ... orthorhombic



# 3
## Pr2Sm3Tl (PBE)

Data for a relaxed structure of Pr2Sm3Tl.

Cell lengths 4.9633, 15.6297, 5.0054 Å; angles 90.00, 90.00, 90.00 degrees
Space group Cmmm (No. 65)
Inequivalent atoms, fractional coordinates:
Pr 0.0000 0.1625 0.0000
Sm 0.0000 0.0000 0.5000
Sm 0.0000 0.3365 0.5000
Tl 0.0000 0.5000 0.0000

Calculated values
Crystal system ... orthorhombic



# 4
## Pr3Sm5Tl3 (PBE)

Data for a relaxed structure of Pr3Sm5Tl3.

Cell lengths 11.1451, 11.1451, 3.4933 Å; angles 90.00, 90.00, 120.00 degrees
Space group P-62m (No. 189)
Inequivalent atoms, fractional coordinates:
Pr 0.0000 0.3977 0.0000
Sm 0.0000 0.7045 0.0000
Sm 0.3333 0.6667 0.0000
Tl 0.0000 0.1589 0.5000

Calculated values
Crystal system ... hexagonal



# 5
## PrSm2Tl4 (PBE)

Data for a relaxed structure of PrSm2Tl4.

Cell lengths 7.7704, 7.7704, 7.4859 Å; angles 90.00, 90.00, 90.00 degrees
Space group I4/mmm (No. 139)
Inequivalent atoms, fractional coordinates:
Pr 0.0000 0.0000 0.0000
Sm 0.0000 0.5000 0.0000
Tl 0.2500 0.2500 0.2500

Calculated values
Crystal system ... tetragonal



# 6
## Pr6Sm5Tl (PBE)

Data for a relaxed structure of Pr6Sm5Tl.

Cell lengths 5.1051, 10.2397, 15.5680 Å; angles 90.00, 90.00, 90.00 degrees
Space group Immm (No. 71)
Inequivalent atoms, fractional coordinates:
Pr 0.0000 0.2439 0.0000
Pr 0.0000 0.2558 0.3357
Sm 0.0000 0.0000 0.1692
Sm 0.0000 0.0000 0.5000
Sm 0.0000 0.5000 0.1634
Tl 0.0000 0.5000 0.5000

Calculated values
Crystal system ... orthorhombic



E_form per entry: -0.03; -0.32; -0.10; 0.18; -0.23; -0.04 eV/atom